Record 1
! Pm2TlCd (GGA-PBE, relaxed); values from VASP
&SYSTEM
  ibrav = 0, nat = 4, ntyp = 3
/
ATOMIC_SPECIES
Pm 145.00 Pm.upf
Tl 204.38 Tl.upf
Cd 112.41 Cd.upf
CELL_PARAMETERS angstrom
5.4404 0.0000 0.0000
0.0000 5.4404 0.0000
0.0000 0.0000 3.8849
ATOMIC_POSITIONS crystal
Pm 0.0000 0.5000 0.0000
Pm 0.5000 0.0000 0.0000
Tl 0.0000 0.0000 0.5000
Cd 0.5000 0.5000 0.5000
! crystal system	tetragonal
! space-group type	No. 123
! distance to the lowest polymorph of the same formula	0.009	eV per atom
! total magnetization	0.544	μB per cell
! energy of formation from the pure elements	-1.41	eV per formula unit

---

Record 2
! Pm2TlCuO6 (GGA-PBE, relaxed); values from VASP
&SYSTEM
  ibrav = 0, nat = 20, ntyp = 4
/
ATOMIC_SPECIES
Pm 145.00 Pm.upf
Tl 204.38 Tl.upf
Cu 63.55 Cu.upf
O 16.00 O.upf
CELL_PARAMETERS angstrom
5.6640 0.0000 0.0000
0.0000 5.6795 0.0000
-4.2159 0.0000 9.0404
ATOMIC_POSITIONS crystal
Pm 0.1953 0.0623 0.2322
Pm 0.1953 0.4377 0.7322
Pm 0.8047 0.5623 0.2678
Pm 0.8047 0.9377 0.7678
Tl 0.5000 0.0000 0.0000
Tl 0.5000 0.5000 0.5000
Cu 0.0000 0.0000 0.5000
Cu 0.0000 0.5000 0.0000
O 0.1075 0.2302 0.9321
O 0.1075 0.2698 0.4321
O 0.1589 0.6872 0.9063
O 0.1589 0.8128 0.4063
O 0.4300 0.0738 0.7819
O 0.4300 0.4262 0.2819
O 0.5700 0.5738 0.7181
O 0.5700 0.9262 0.2181
O 0.8411 0.1872 0.5937
O 0.8411 0.3127 0.0937
O 0.8925 0.7302 0.5679
O 0.8925 0.7698 0.0679
! crystal system	monoclinic
! space-group type	No. 14
! total magnetization	0.000	μB per cell
! uncorrected energy	-6.540	eV per atom

---

Record 3
! SiTcHg3 (GGA-PBE, relaxed); values from VASP
&SYSTEM
  ibrav = 0, nat = 5, ntyp = 3
/
ATOMIC_SPECIES
Si 28.09 Si.upf
Tc 98.00 Tc.upf
Hg 200.59 Hg.upf
CELL_PARAMETERS angstrom
5.2576 0.0000 0.0000
0.0000 5.2576 0.0000
0.0000 0.0000 5.2576
ATOMIC_POSITIONS crystal
Si 0.0000 0.0000 0.0000
Tc 0.5000 0.5000 0.5000
Hg 0.0000 0.5000 0.5000
Hg 0.5000 0.0000 0.5000
Hg 0.5000 0.5000 0.0000
! crystal system	cubic
! space-group type	No. 221
! distance to the lowest polymorph of the same formula	0.044	eV per atom
! total magnetization	1.384	μB per cell